# 1
An optimized crystal structure of Ce2PmF8, computed with GGA-PBE.

Geometry as POSCAR:
```
Ce2PmF8
1.0
-2.463 3.090 0.265
-1.824 -0.910 -6.335
-1.984 -4.525 4.717
F Ce Pm
8 2 1
Direct
0.656 0.881 0.311
0.344 0.570 0.689
0.139 0.139 0.279
0.000 0.308 0.000
0.861 0.861 0.721
0.656 0.430 0.311
0.344 0.119 0.689
0.000 0.692 0.000
0.183 0.683 0.366
0.817 0.317 0.634
0.500 0.000 0.000
```

- DOS at the Fermi energy (states/eV per atom) = 1.164
- crystal system = orthorhombic
- final energy (eV/atom) = -6.66
- formation energy (no corrections) (eV/atom) = -3.7853
- energy above the lowest structure with this stoichiometry (eV/atom) = 0.0663

***

# 2
An optimized crystal structure of CePm2F11, computed with GGA-PBE.

Geometry as POSCAR:
```
CePm2F11
1.0
7.609 0.000 3.966
3.497 7.675 2.573
0.244 -0.062 8.815
Ce Pm F
2 4 22
Direct
0.750 0.750 0.750
0.250 0.250 0.250
0.663 0.691 0.309
0.337 0.309 0.691
0.837 0.191 0.809
0.163 0.809 0.191
0.662 0.713 0.560
0.338 0.287 0.440
0.064 0.560 0.713
0.838 0.940 0.787
0.936 0.440 0.287
0.162 0.060 0.213
0.436 0.787 0.940
0.564 0.213 0.060
0.500 0.500 0.500
0.000 0.000 0.000
0.892 0.813 0.187
0.108 0.187 0.813
0.608 0.313 0.687
0.392 0.687 0.313
0.453 0.976 0.310
0.547 0.024 0.690
0.260 0.310 0.976
0.047 0.190 0.524
0.740 0.690 0.024
0.953 0.810 0.476
0.240 0.524 0.190
0.760 0.476 0.810
```

- crystal system = orthorhombic
- final energy (eV/atom) = -6.20
- formation energy (no corrections) (eV/atom) = -3.6234

***

# 3
An optimized crystal structure of CePmF6, computed with GGA-PBE.

Geometry as POSCAR:
```
CePmF6
1.0
5.902 0.011 0.009
2.948 5.117 0.012
2.944 1.701 5.613
Ce Pm F
1 1 6
Direct
0.500 0.500 0.500
0.000 0.000 0.000
0.142 0.354 0.753
0.751 0.142 0.753
0.646 0.249 0.247
0.249 0.858 0.247
0.858 0.646 0.247
0.354 0.751 0.753
```

- DOS at the Fermi energy (states/eV per atom) = 0.073
- crystal system = triclinic
- final energy (eV/atom) = -6.72
- formation energy (no corrections) (eV/atom) = -3.9836

***

# 4
An optimized crystal structure of CePm2F, computed with GGA-PBE.

Geometry as POSCAR:
```
CePm2F
1.0
-3.149 0.491 0.872
-1.718 -2.436 1.426
1.482 2.639 10.125
F Ce Pm
1 1 2
Direct
0.500 0.500 0.500
0.000 0.000 0.000
0.105 0.105 0.686
0.895 0.895 0.314
```

- DOS at the Fermi energy (states/eV per atom) = 1.039
- crystal system = trigonal
- final energy (eV/atom) = -5.24
- formation energy (no corrections) (eV/atom) = -0.9155

***

# 5
An optimized crystal structure of CePmF2, computed with GGA-PBE.

Geometry as POSCAR:
```
CePmF2
1.0
-1.886 -0.961 2.803
-3.361 -0.945 -0.385
0.514 -8.244 -0.280
F Ce Pm
2 1 1
Direct
0.098 0.098 0.706
0.902 0.902 0.294
0.500 0.500 0.500
0.000 0.000 0.000
```

- DOS at the Fermi energy (states/eV per atom) = 1.567
- crystal system = trigonal
- final energy (eV/atom) = -5.87
- formation energy (no corrections) (eV/atom) = -2.2600

***

# 6
An optimized crystal structure of CePm2F8, computed with GGA-PBE.

Geometry as POSCAR:
```
CePm2F8
1.0
-1.906 2.888 1.382
-3.990 -3.664 2.155
6.638 -0.196 4.541
Ce Pm F
1 2 8
Direct
0.500 0.000 0.000
0.820 0.317 0.639
0.180 0.683 0.361
0.398 0.556 0.796
0.682 0.960 0.363
0.780 0.673 0.561
0.951 0.224 0.902
0.220 0.327 0.439
0.318 0.040 0.637
0.602 0.444 0.204
0.049 0.776 0.098
```

- DOS at the Fermi energy (states/eV per atom) = 0.719
- crystal system = monoclinic
- final energy (eV/atom) = -6.64
- formation energy (no corrections) (eV/atom) = -3.8756
- energy above the lowest structure with this stoichiometry (eV/atom) = 0.0000

***

# 7
An optimized crystal structure of CePm3F, computed with GGA-PBE.

Geometry as POSCAR:
```
CePm3F
1.0
5.146 0.000 0.000
0.000 5.146 0.000
0.000 0.000 5.146
F Ce Pm
1 1 3
Direct
0.000 0.000 0.000
0.500 0.500 0.500
0.000 0.500 0.000
0.000 0.000 0.500
0.500 0.000 0.000
```

- DOS at the Fermi energy (states/eV per atom) = 1.916
- crystal system = cubic
- final energy (eV/atom) = -5.31
- formation energy (no corrections) (eV/atom) = -0.9015

***

# 8
An optimized crystal structure of CePmF, computed with GGA-PBE.

Geometry as POSCAR:
```
CePmF
1.0
-2.387 -4.541 0.103
5.804 -3.126 -3.262
0.704 -0.290 3.538
Pm Ce F
2 2 2
Direct
0.250 0.856 0.178
0.750 0.144 0.822
0.250 0.410 0.455
0.750 0.590 0.545
0.250 0.133 0.817
0.750 0.867 0.183
```

- DOS at the Fermi energy (states/eV per atom) = 1.368
- crystal system = orthorhombic
- final energy (eV/atom) = -5.71
- formation energy (no corrections) (eV/atom) = -1.5240

***

What is the formula in the third record?
CePmF6

***

Look up the formation energy (no corrections) of the seventh one.
-0.9015 eV/atom

***

Among the records above, which one has the lowest final energy?
CePmF6

***

The lowest formation energy (no corrections) belongs to which entry?
CePmF6